! MnFe3F PBE+U optimized geometry; values from VASP
! E above lowest polymorph = 0.00 eV/f.u.
! space group = Pm-3m
! total magnetization = 14.97 μB per formula unit
&SYSTEM
  ibrav = 0, nat = 5, ntyp = 3
/
ATOMIC_SPECIES
Mn 54.94 Mn.upf
Fe 55.84 Fe.upf
F 19.00 F.upf
CELL_PARAMETERS angstrom
4.352 0.000 0.000
0.000 4.352 0.000
0.000 0.000 4.352
ATOMIC_POSITIONS crystal
Mn 0.000 0.000 0.000
Fe 0.000 0.500 0.500
Fe 0.500 0.000 0.500
Fe 0.500 0.500 0.000
F 0.500 0.500 0.500